# 1
DFT (GGA-PBE) results for crystalline K3C5 at its relaxed geometry.

Values from the calculation:
**Space group**: P4/mmm
**D(E_F)**: 5.186 states/eV/f.u.
**Spin magnetization**: 1.8 μB per formula unit
**DFT formation energy**: 822 meV per atom

```
K3C5
1.0
-2.6999 -3.0011 1.1078
1.7891 -2.6183 -2.7326
7.3651 -3.5799 8.2523
C K
5 3
Direct
0.0000 0.0000 0.1129 C
0.0000 0.0000 0.0000 C
0.5000 0.5000 0.4457 C
0.5000 0.5000 0.5543 C
0.0000 0.0000 0.8871 C
0.5000 0.5000 0.2019 K
0.0000 0.0000 0.5000 K
0.5000 0.5000 0.7981 K
```

# 2
DFT (GGA-PBE) results for crystalline Ac2ScPb2O2 at its relaxed geometry.

Values from the calculation:
**Space group**: I4/mmm
**D(E_F)**: 4.740 states/eV/f.u.
**Spin magnetization**: 0.0 μB per formula unit
**Formation energy without anion corrections**: -1.70 eV/atom

```
Ac2ScPb2O2
1.0
-1.5375 1.8743 3.5955
0.4918 -3.7308 2.1551
8.7334 3.3189 -0.6105
O Ac Sc Pb
2 2 1 2
Direct
0.0000 0.5000 0.0000 O
0.5000 0.0000 0.0000 O
0.6043 0.6043 0.2086 Ac
0.3957 0.3957 0.7914 Ac
0.0000 0.0000 0.0000 Sc
0.2023 0.2023 0.4045 Pb
0.7977 0.7977 0.5955 Pb
```

# 3
DFT (GGA-PBE) results for crystalline KSr2Ca at its relaxed geometry.

Values from the calculation:
**Space group**: Pmmm
**D(E_F)**: 3.286 states/eV/f.u.
**Spin magnetization**: 0.0 μB per formula unit
**DFT formation energy**: 118 meV per atom

```
KSr2Ca
1.0
4.5587 0.0000 0.0000
0.0000 6.9164 0.0000
0.0000 0.0000 6.8419
K Ca Sr
1 1 2
Direct
0.0000 0.5000 0.5000 K
0.5000 0.0000 0.5000 Ca
0.5000 0.5000 0.0000 Sr
0.0000 0.0000 0.0000 Sr
```

# 4
DFT (GGA-PBE) results for crystalline LaY2Tm3 at its relaxed geometry.

Values from the calculation:
**Space group**: Cmc2_1
**D(E_F)**: 10.025 states/eV/f.u.
**Spin magnetization**: 0.0 μB per formula unit
**DFT formation energy**: 230 meV per atom

```
LaY2Tm3
1.0
6.7824 0.0000 0.0000
0.0000 7.2151 2.9639
0.0000 -0.9508 7.7420
Tm Y La
6 4 2
Direct
0.3298 0.8449 0.8449 Tm
0.5749 0.1760 0.5192 Tm
0.8298 0.1551 0.1551 Tm
0.0749 0.8240 0.4808 Tm
0.0749 0.4808 0.8240 Tm
0.5749 0.5192 0.1760 Tm
0.5775 0.7843 0.4403 Y
0.5775 0.4403 0.7843 Y
0.0775 0.5597 0.2157 Y
0.0775 0.2157 0.5597 Y
0.8234 0.8578 0.8578 La
0.3234 0.1422 0.1422 La
```

# 5
DFT (GGA-PBE) results for crystalline InAs6Pd12 at its relaxed geometry.

Values from the calculation:
**Space group**: R-3m
**D(E_F)**: 8.746 states/eV/f.u.
**Spin magnetization**: 0.0 μB per formula unit
**DFT formation energy**: -278 meV per atom

```
InAs6Pd12
1.0
-6.0344 -2.6131 3.4621
2.9892 -5.6032 -3.8597
4.8978 2.0117 5.2147
Pd As In
12 6 1
Direct
0.8767 0.5000 0.1233 Pd
0.8410 0.6020 0.6020 Pd
0.6020 0.6020 0.8410 Pd
0.3980 0.1590 0.3980 Pd
0.1590 0.3980 0.3980 Pd
0.8767 0.1233 0.5000 Pd
0.1233 0.5000 0.8767 Pd
0.6020 0.8410 0.6020 Pd
0.5000 0.8767 0.1233 Pd
0.5000 0.1233 0.8767 Pd
0.1233 0.8767 0.5000 Pd
0.3980 0.3980 0.1590 Pd
0.6893 0.2629 0.2629 As
0.3107 0.7371 0.7371 As
0.2629 0.6893 0.2629 As
0.7371 0.7371 0.3107 As
0.7371 0.3107 0.7371 As
0.2629 0.2629 0.6893 As
0.0000 0.0000 0.0000 In
```

# 6
DFT (GGA-PBE) results for crystalline BaAs2WSe at its relaxed geometry.

Values from the calculation:
**Space group**: P4/mmm
**D(E_F)**: 6.785 states/eV/f.u.
**Spin magnetization**: 0.1 μB per formula unit
**Formation energy without anion corrections**: 2.27 eV/atom

```
BaAs2WSe
1.0
-3.6003 0.8529 -4.0975
-2.2899 -4.9257 0.9868
-3.6316 2.4288 3.6966
As W Se Ba
2 1 1 1
Direct
0.0000 0.5000 0.0000 As
0.5000 0.0000 0.0000 As
0.5000 0.5000 0.5000 W
0.0000 0.0000 0.5000 Se
0.0000 0.0000 0.0000 Ba
```